Record 1
# Ba2Au3 | Alexandria | GGA-PBEsol | relaxed
# M_tot ... 0.0 μB/f.u.
# Calculated volume ... 30.710 A^3/atom
# Energy relative to the elements ... -0.624 eV per atom
# Density of states at the Fermi level ... 2.6 states/eV/f.u.
data_Ba2Au3
_chemical_formula_sum 'Ba6 Au9'
_space_group_name_H-M_alt 'R -3 m'
_space_group_IT_number 166
_space_group_name_Hall '-R 3 2"'
_cell_length_a 4.7570
_cell_length_b 4.7570
_cell_length_c 23.5059
_cell_angle_alpha 90.00
_cell_angle_beta 90.00
_cell_angle_gamma 120.00
loop_
_atom_site_label
_atom_site_type_symbol
_atom_site_fract_x
_atom_site_fract_y
_atom_site_fract_z
Ba1 Ba 0.0000 0.0000 0.0872
Au1 Au 0.0000 0.0000 0.3336
Au2 Au 0.0000 0.0000 0.5000



Record 2
# BaAu4 | Alexandria | GGA-PBEsol | relaxed
# M_tot ... 0.0 μB/f.u.
# Calculated volume ... 23.002 A^3/atom
# Energy relative to the elements ... -0.370 eV per atom
# Density of states at the Fermi level ... 1.4 states/eV/f.u.
data_BaAu4
_chemical_formula_sum 'Ba8 Au32'
_space_group_name_H-M_alt 'I -4 3 m'
_space_group_IT_number 217
_space_group_name_Hall 'I -4 2 3'
_cell_length_a 9.726
_cell_length_b 9.726
_cell_length_c 9.726
_cell_angle_alpha 90.00
_cell_angle_beta 90.00
_cell_angle_gamma 90.00
loop_
_atom_site_label
_atom_site_type_symbol
_atom_site_fract_x
_atom_site_fract_y
_atom_site_fract_z
Ba1 Ba 0.218 0.218 0.782
Au1 Au 0.000 0.000 0.355
Au2 Au 0.000 0.250 0.500
Au3 Au 0.102 0.102 0.102



Record 3
# Ba5Au4 | Alexandria | GGA-PBEsol | relaxed
# M_tot ... 0.0 μB/f.u.
# Calculated volume ... 33.958 A^3/atom
# Energy relative to the elements ... -0.522 eV per atom
# Density of states at the Fermi level ... 7.1 states/eV/f.u.
data_Ba5Au4
_chemical_formula_sum 'Ba10 Au8'
_space_group_name_H-M_alt 'P 63/m c m'
_space_group_IT_number 193
_space_group_name_Hall '-P 6c 2'
_cell_length_a 9.7027
_cell_length_b 9.7027
_cell_length_c 7.4972
_cell_angle_alpha 90.00
_cell_angle_beta 90.00
_cell_angle_gamma 120.00
loop_
_atom_site_label
_atom_site_type_symbol
_atom_site_fract_x
_atom_site_fract_y
_atom_site_fract_z
Ba1 Ba 0.0000 0.2656 0.2500
Ba2 Ba 0.3333 0.6667 0.0000
Au1 Au 0.0000 0.0000 0.0000
Au2 Au 0.0000 0.3940 0.7500



Record 4
# BaBeAu2 | Alexandria | GGA-PBEsol | relaxed
# M_tot ... 0.0 μB/f.u.
# Calculated volume ... 23.336 A^3/atom
# Energy relative to the elements ... -0.146 eV per atom
# Density of states at the Fermi level ... 1.9 states/eV/f.u.
data_BaBeAu2
_chemical_formula_sum 'Ba2 Be2 Au4'
_space_group_name_H-M_alt 'I m m m'
_space_group_IT_number 71
_space_group_name_Hall '-I 2 2'
_cell_length_a 3.774
_cell_length_b 6.014
_cell_length_c 8.226
_cell_angle_alpha 90.00
_cell_angle_beta 90.00
_cell_angle_gamma 90.00
loop_
_atom_site_label
_atom_site_type_symbol
_atom_site_fract_x
_atom_site_fract_y
_atom_site_fract_z
Ba1 Ba 0.000 0.000 0.000
Be1 Be 0.000 0.000 0.500
Au1 Au 0.000 0.500 0.170



Record 5
# BaBe2Au | Alexandria | GGA-PBEsol | relaxed
# M_tot ... 0.0 μB/f.u.
# Calculated volume ... 23.195 A^3/atom
# Energy relative to the elements ... 0.019 eV per atom
# Density of states at the Fermi level ... 3.1 states/eV/f.u.
# Distance to the lowest polymorph of the same formula ... 0.0 meV per atom
data_BaBe2Au
_chemical_formula_sum 'Ba4 Be8 Au4'
_space_group_name_H-M_alt 'I 41/a m d'
_space_group_IT_number 141
_cell_length_a 5.083
_cell_length_b 5.083
_cell_length_c 14.363
_cell_angle_alpha 90.00
_cell_angle_beta 90.00
_cell_angle_gamma 90.00
loop_
_space_group_symop_operation_xyz
'x,y,z'
'-x,-y,-z'
'-y+1/4,x+3/4,z+1/4'
'y+1/4,-x+3/4,-z+1/4'
'-x+1/2,-y,z+1/2'
'x+1/2,y,-z+1/2'
'y+1/4,-x+1/4,z+3/4'
'-y+1/4,x+1/4,-z+3/4'
'x,-y,-z'
'-x,y,z'
'-y+1/4,-x+1/4,-z+3/4'
'y+1/4,x+1/4,z+3/4'
'-x+1/2,y,-z+1/2'
'x+1/2,-y,z+1/2'
'y+1/4,x+3/4,-z+1/4'
'-y+1/4,-x+3/4,z+1/4'
'x+1/2,y+1/2,z+1/2'
'-x+1/2,-y+1/2,-z+1/2'
'-y+3/4,x+1/4,z+3/4'
'y+3/4,-x+1/4,-z+3/4'
'-x,-y+1/2,z'
'x,y+1/2,-z'
'y+3/4,-x+3/4,z+1/4'
'-y+3/4,x+3/4,-z+1/4'
'x+1/2,-y+1/2,-z+1/2'
'-x+1/2,y+1/2,z+1/2'
'-y+3/4,-x+3/4,-z+1/4'
'y+3/4,x+3/4,z+1/4'
'-x,y+1/2,-z'
'x,-y+1/2,z'
'y+3/4,x+1/4,-z+3/4'
'-y+3/4,-x+1/4,z+3/4'
loop_
_atom_site_label
_atom_site_type_symbol
_atom_site_fract_x
_atom_site_fract_y
_atom_site_fract_z
Ba1 Ba 0.000 0.250 0.375
Be1 Be 0.000 0.000 0.000
Au1 Au 0.000 0.250 0.875



Record 6
# BaBeAu2 | Alexandria | GGA-PBEsol | relaxed
# M_tot ... 0.0 μB/f.u.
# Calculated volume ... 19.536 A^3/atom
# Energy relative to the elements ... -0.113 eV per atom
# Density of states at the Fermi level ... 2.3 states/eV/f.u.
data_BaBeAu2
_chemical_formula_sum 'Ba1 Be1 Au2'
_space_group_name_H-M_alt 'P 4/m m m'
_space_group_IT_number 123
_space_group_name_Hall '-P 4 2'
_cell_length_a 3.171
_cell_length_b 3.171
_cell_length_c 7.770
_cell_angle_alpha 90.00
_cell_angle_beta 90.00
_cell_angle_gamma 90.00
loop_
_atom_site_label
_atom_site_type_symbol
_atom_site_fract_x
_atom_site_fract_y
_atom_site_fract_z
Ba1 Ba 0.000 0.000 0.000
Be1 Be 0.000 0.000 0.500
Au1 Au 0.500 0.500 0.326



Record 7
# BaBeAu2 | Alexandria | GGA-PBEsol | relaxed
# M_tot ... 0.0 μB/f.u.
# Calculated volume ... 22.220 A^3/atom
# Energy relative to the elements ... 0.191 eV per atom
# Density of states at the Fermi level ... 1.4 states/eV/f.u.
data_BaBeAu2
_chemical_formula_sum 'Ba2 Be2 Au4'
_space_group_name_H-M_alt 'I -4 m 2'
_space_group_IT_number 119
_space_group_name_Hall 'I -4 -2'
_cell_length_a 4.797
_cell_length_b 4.797
_cell_length_c 7.723
_cell_angle_alpha 90.00
_cell_angle_beta 90.00
_cell_angle_gamma 90.00
loop_
_atom_site_label
_atom_site_type_symbol
_atom_site_fract_x
_atom_site_fract_y
_atom_site_fract_z
Ba1 Ba 0.000 0.000 0.000
Be1 Be 0.000 0.500 0.750
Au1 Au 0.000 0.000 0.500
Au2 Au 0.000 0.500 0.250



Record 8
# BaBe2Au | Alexandria | GGA-PBEsol | relaxed
# M_tot ... 0.0 μB/f.u.
# Calculated volume ... 18.140 A^3/atom
# Energy relative to the elements ... 0.250 eV per atom
# Density of states at the Fermi level ... 2.4 states/eV/f.u.
# Distance to the lowest polymorph of the same formula ... 230.1 meV per atom
data_BaBe2Au
_chemical_formula_sum 'Ba1 Be2 Au1'
_space_group_name_H-M_alt 'P 4 m m'
_space_group_IT_number 99
_space_group_name_Hall 'P 4 -2'
_cell_length_a 3.133
_cell_length_b 3.133
_cell_length_c 7.391
_cell_angle_alpha 90.00
_cell_angle_beta 90.00
_cell_angle_gamma 90.00
loop_
_atom_site_label
_atom_site_type_symbol
_atom_site_fract_x
_atom_site_fract_y
_atom_site_fract_z
Ba1 Ba 0.000 0.000 0.000
Be1 Be 0.000 0.000 0.486
Be2 Be 0.500 0.500 0.332
Au1 Au 0.500 0.500 0.643